No. 1
Hf2Ni2Ge | PBE-GGA | relaxed

Cell lengths 4.371, 4.371, 5.692 Å; angles 67.42, 67.42, 90.00 degrees
Atoms (fractional coordinates):
Ge: 0.000 0.000 0.000
Hf: 0.250 0.750 0.500
Ni: 0.615 0.615 0.771
Hf: 0.750 0.250 0.500
Ni: 0.385 0.385 0.229

Output
The calculation puts the energy of formation from the pure elements at -0.051 eV/atom. The total energy is -36.34 eV per cell.

No. 2
Hf2Ni6Ge | PBE-GGA | relaxed

Cell lengths 5.398, 5.087, 5.087 Å; angles 59.99, 89.98, 89.98 degrees
Atoms (fractional coordinates):
Ni: 0.674 0.648 0.176
Ni: 0.675 0.176 0.176
Hf: 0.838 0.667 0.667
Ge: 0.000 0.000 0.000
Hf: 0.162 0.333 0.333
Ni: 0.326 0.824 0.352
Ni: 0.325 0.824 0.824
Ni: 0.326 0.352 0.824
Ni: 0.674 0.176 0.648

Output
The calculation puts the energy of formation from the pure elements at -0.462 eV/atom. The total energy is -63.37 eV per cell.

No. 3
HfNi15Ge4 | PBE-GGA | relaxed

Cell lengths 3.618, 3.618, 17.931 Å; angles 90.00, 90.00, 90.00 degrees
Atoms (fractional coordinates):
Ni: 0.500 0.500 0.401
Ni: 0.500 0.000 0.893
Hf: 0.000 0.000 0.000
Ni: 0.500 0.000 0.303
Ge: 0.000 0.000 0.402
Ni: 0.000 0.500 0.303
Ni: 0.500 0.000 0.107
Ni: 0.500 0.000 0.697
Ni: 0.500 0.500 0.205
Ge: 0.000 0.000 0.598
Ge: 0.000 0.000 0.205
Ni: 0.000 0.500 0.893
Ni: 0.500 0.000 0.500
Ni: 0.000 0.500 0.697
Ni: 0.500 0.500 0.000
Ge: 0.000 0.000 0.795
Ni: 0.000 0.500 0.107
Ni: 0.500 0.500 0.795
Ni: 0.500 0.500 0.599
Ni: 0.000 0.500 0.500

Output
The calculation puts the energy of formation from the pure elements at -0.331 eV/atom. The total energy is -121.76 eV per cell.

No. 4
Hf2NiGe4 | PBE-GGA | relaxed

Cell lengths 4.636, 4.636, 7.306 Å; angles 71.50, 71.50, 90.00 degrees
Atoms (fractional coordinates):
Hf: 0.383 0.383 0.235
Hf: 0.617 0.617 0.765
Ge: 0.178 0.178 0.645
Ge: 0.500 0.000 0.000
Ge: 0.000 0.500 0.000
Ni: 0.000 0.000 0.000
Ge: 0.822 0.822 0.355

Output
The calculation puts the energy of formation from the pure elements at 0.056 eV/atom. The total energy is -43.76 eV per cell.

No. 5
Hf2NiGe2 | PBE-GGA | relaxed

Cell lengths 4.101, 6.108, 7.400 Å; angles 90.00, 106.09, 90.00 degrees
Atoms (fractional coordinates):
Hf: 0.007 0.220 0.015
Ge: 0.571 0.966 0.143
Ge: 0.429 0.466 0.857
Ge: 0.828 0.948 0.655
Ni: 0.601 0.578 0.202
Hf: 0.203 0.923 0.405
Hf: 0.797 0.423 0.595
Ni: 0.399 0.078 0.798
Ge: 0.172 0.448 0.345
Hf: 0.993 0.720 0.985

Output
The calculation puts the energy of formation from the pure elements at -0.551 eV/atom. The total energy is -75.35 eV per cell.

No. 6
Hf6Ni16Ge7 | PBE-GGA | relaxed

Cell lengths 8.212, 8.212, 8.212 Å; angles 60.00, 60.00, 60.00 degrees
Atoms (fractional coordinates):
Hf: 0.204 0.796 0.796
Ge: 0.000 0.000 0.500
Hf: 0.796 0.204 0.204
Ge: 0.500 0.500 0.500
Ni: 0.382 0.382 0.382
Ni: 0.618 0.145 0.618
Ni: 0.167 0.167 0.167
Ni: 0.382 0.382 0.855
Ni: 0.855 0.382 0.382
Ni: 0.618 0.618 0.618
Hf: 0.204 0.796 0.204
Hf: 0.796 0.204 0.796
Ni: 0.382 0.855 0.382
Ni: 0.145 0.618 0.618
Hf: 0.204 0.204 0.796
Ni: 0.833 0.502 0.833
Ni: 0.618 0.618 0.145
Ni: 0.167 0.167 0.498
Ge: 0.500 0.000 0.000
Ge: 0.500 0.500 0.000
Ni: 0.833 0.833 0.502
Ni: 0.167 0.498 0.167
Ge: 0.500 0.000 0.500
Ge: 0.000 0.500 0.500
Hf: 0.796 0.796 0.204
Ge: 0.000 0.500 0.000
Ni: 0.498 0.167 0.167
Ni: 0.502 0.833 0.833
Ni: 0.833 0.833 0.833

Output
The calculation puts the energy of formation from the pure elements at -0.589 eV/atom. The total energy is -201.64 eV per cell.

No. 7
HfNi2Ge2 | PBE-GGA | relaxed

Cell lengths 7.054, 7.054, 2.948 Å; angles 90.00, 90.00, 90.00 degrees
Atoms (fractional coordinates):
Ni: 0.123 0.377 0.000
Ge: 0.170 0.670 0.500
Ni: 0.377 0.877 0.000
Ni: 0.623 0.123 0.000
Hf: 0.000 0.000 0.000
Ge: 0.330 0.170 0.500
Ni: 0.877 0.623 0.000
Ge: 0.670 0.830 0.500
Hf: 0.500 0.500 0.000
Ge: 0.830 0.330 0.500

Output
The calculation puts the energy of formation from the pure elements at -0.272 eV/atom. The total energy is -64.22 eV per cell.

No. 8
HfNiGe3 | PBE-GGA | relaxed

Cell lengths 4.564, 4.564, 4.564 Å; angles 90.00, 90.00, 90.00 degrees
Atoms (fractional coordinates):
Ge: 0.500 0.000 0.000
Hf: 0.500 0.500 0.500
Ge: 0.000 0.500 0.000
Ni: 0.000 0.000 0.000
Ge: 0.000 0.000 0.500

Output
The calculation puts the energy of formation from the pure elements at 0.330 eV/atom. The total energy is -27.94 eV per cell.

No. 9
Hf2Ni9Ge | PBE-GGA | relaxed

Cell lengths 3.697, 3.697, 10.927 Å; angles 90.00, 90.00, 90.00 degrees
Atoms (fractional coordinates):
Hf: 0.000 0.000 0.672
Hf: 0.000 0.000 0.328
Ni: 0.500 0.500 0.000
Ni: 0.000 0.500 0.844
Ni: 0.500 0.500 0.327
Ni: 0.000 0.500 0.156
Ni: 0.500 0.000 0.500
Ni: 0.000 0.500 0.500
Ni: 0.500 0.000 0.844
Ge: 0.000 0.000 0.000
Ni: 0.500 0.000 0.156
Ni: 0.500 0.500 0.673

Output
The calculation puts the energy of formation from the pure elements at -0.441 eV/atom. The total energy is -81.85 eV per cell.

No. 10
Hf3NiGe | PBE-GGA | relaxed

Cell lengths 4.762, 4.762, 4.762 Å; angles 90.00, 90.00, 90.00 degrees
Atoms (fractional coordinates):
Hf: 0.000 0.500 0.000
Hf: 0.000 0.000 0.500
Ge: 0.500 0.500 0.500
Hf: 0.500 0.000 0.000
Ni: 0.000 0.000 0.000

Output
The calculation puts the energy of formation from the pure elements at 0.100 eV/atom. The value obtained for the distance to the lowest polymorph of the same formula is 0.0 meV/atom. The total energy is -39.76 eV per cell.

No. 11
HfNi4Ge | PBE-GGA | relaxed

Cell lengths 4.797, 4.797, 4.797 Å; angles 60.00, 60.00, 60.00 degrees
Atoms (fractional coordinates):
Ni: 0.625 0.625 0.125
Hf: 0.000 0.000 0.000
Ni: 0.625 0.625 0.625
Ni: 0.625 0.125 0.625
Ni: 0.125 0.625 0.625
Ge: 0.250 0.250 0.250

Output
The calculation puts the energy of formation from the pure elements at -0.354 eV/atom. The value obtained for the distance to the lowest polymorph of the same formula is 0.0 meV/atom. The total energy is -39.82 eV per cell.